(1)
This record from Alexandria describes LiTa2Tc after structural relaxation. The functional is GGA-PBE.

Computed properties:
- Energy of formation from the pure elements: 0.139 eV/atom
- Calculated volume: 15.7 A^3/atom
- SG: P4mm

abc: 3.2574 3.2574 5.9093
angles: 90.00 90.00 90.00
Last column: nearest neighbours and their distance in Å.
Fractional positions:
1 Li 0.0000 0.0000 0.0000  4 Tc 2.63, 5 Ta 2.72-2.73
2 Ta 0.0000 0.0000 0.5373  4 Tc 2.73, 1 Li 2.73, 4 Ta 2.88
3 Ta 0.5000 0.5000 0.2437  1 Tc 2.71, 4 Li 2.72, 4 Ta 2.88
4 Tc 0.5000 0.5000 0.7844  4 Li 2.63, 5 Ta 2.71-2.73


(2)
This record from Alexandria describes LiTaTc after structural relaxation. The functional is GGA-PBE.

Computed properties:
- Energy of formation from the pure elements: 0.764 eV/atom
- Energy above the lowest structure with this stoichiometry: 1.960 eV/f.u.
- Calculated volume: 18.1 A^3/atom
- SG: F-43m

abc: 4.2483 4.2483 4.2483
angles: 60.00 60.00 60.00
Last column: nearest neighbours and their distance in Å.
Fractional positions:
1 Li 0.0000 0.0000 0.0000  4 Tc 2.60
2 Ta 0.5000 0.5000 0.5000  4 Tc 2.60
3 Tc 0.2500 0.2500 0.2500  4 Ta 2.60, 4 Li 2.60


(3)
This record from Alexandria describes LiTa2Tc after structural relaxation. The functional is GGA-PBE.

Computed properties:
- Energy of formation from the pure elements: 0.176 eV/atom
- Calculated volume: 16.2 A^3/atom
- SG: C2/m

abc: 5.2729 5.2729 2.7163
angles: 100.57 100.57 114.51
Last column: nearest neighbours and their distance in Å.
Fractional positions:
1 Li 0.0000 0.0000 0.0000  2 Li 2.72, 4 Ta 2.74, 2 Tc 2.85
2 Ta 0.0000 0.5000 0.5000  4 Ta 2.72-2.85, 2 Tc 2.74, 2 Li 2.74
3 Ta 0.5000 0.0000 0.5000  4 Ta 2.72-2.85, 2 Tc 2.74, 2 Li 2.74
4 Tc 0.5000 0.5000 0.0000  2 Tc 2.72, 4 Ta 2.74, 2 Li 2.85


(4)
This record from Alexandria describes LiTaTc2 after structural relaxation. The functional is GGA-PBE.

Computed properties:
- Energy of formation from the pure elements: 0.307 eV/atom
- Energy above the lowest structure with this stoichiometry: 0.847 eV/f.u.
- Calculated volume: 15.8 A^3/atom
- SG: R-3m

abc: 9.7296 9.7296 9.7296
angles: 16.28 16.28 16.28
Last column: nearest neighbours and their distance in Å.
Fractional positions:
1 Li 0.0000 0.0000 0.0000  6 Li 2.76, 6 Tc 2.84
2 Ta 0.5000 0.5000 0.5000  6 Ta 2.76, 6 Tc 2.91
3 Tc 0.2515 0.2515 0.2515  6 Tc 2.76, 3 Li 2.84, 3 Ta 2.91
4 Tc 0.7485 0.7485 0.7485  6 Tc 2.76, 3 Li 2.84, 3 Ta 2.91


(5)
This record from Alexandria describes LiTaTc2 after structural relaxation. The functional is GGA-PBE.

Computed properties:
- Energy of formation from the pure elements: 0.242 eV/atom
- Energy above the lowest structure with this stoichiometry: 0.590 eV/f.u.
- Calculated volume: 15.9 A^3/atom
- SG: Cmm2

abc: 2.7118 2.7118 9.4024
angles: 90.00 90.00 112.74
Last column: nearest neighbours and their distance in Å.
Fractional positions:
1 Li 0.0000 0.0000 0.0000  6 Li 2.71-3.00, 2 Tc 2.76, 2 Ta 3.02
2 Ta 0.5000 0.5000 0.2783  6 Ta 2.71-3.00, 2 Tc 2.76, 2 Li 3.02
3 Tc 0.0000 0.0000 0.5252  6 Tc 2.62-2.71, 2 Ta 2.76
4 Tc 0.5000 0.5000 0.7540  6 Tc 2.62-2.71, 2 Li 2.76


(6)
This record from Alexandria describes LiTaTc2 after structural relaxation. The functional is GGA-PBE.

Computed properties:
- Energy of formation from the pure elements: 0.123 eV/atom
- Energy above the lowest structure with this stoichiometry: 0.114 eV/f.u.
- Calculated volume: 15.0 A^3/atom
- SG: Pm

abc: 2.6862 4.3976 5.1749
angles: 90.00 100.69 90.00
Last column: nearest neighbours and their distance in Å.
Fractional positions:
1 Li 0.0000 0.0000 0.0000  5 Tc 2.65-2.94, 2 Li 2.69, 2 Ta 2.73
2 Ta 0.7077 0.5000 0.2481  4 Tc 2.68-2.78, 2 Ta 2.69, 2 Li 2.73
3 Tc 0.1969 0.5000 0.7498  4 Tc 2.64-2.69, 2 Li 2.65, 2 Ta 2.68-2.69
4 Tc 0.4371 0.0000 0.5201  4 Tc 2.64-2.69, 3 Li 2.66-2.94, 2 Ta 2.78


(7)
This record from Alexandria describes LiTaTc2 after structural relaxation. The functional is GGA-PBE.

Computed properties:
- Energy of formation from the pure elements: 0.288 eV/atom
- Energy above the lowest structure with this stoichiometry: 0.773 eV/f.u.
- Calculated volume: 15.6 A^3/atom
- SG: P4/mmm

abc: 2.6306 2.6306 9.0043
angles: 90.00 90.00 90.00
Last column: nearest neighbours and their distance in Å.
Fractional positions:
1 Li 0.0000 0.0000 0.0000  4 Li 2.63, 8 Tc 2.89
2 Ta 0.0000 0.0000 0.5000  4 Ta 2.63
3 Tc 0.5000 0.5000 0.2458  4 Tc 2.63, 4 Li 2.89
4 Tc 0.5000 0.5000 0.7542  4 Tc 2.63, 4 Li 2.89


(8)
This record from Alexandria describes LiTaTc2 after structural relaxation. The functional is GGA-PBE.

Computed properties:
- Energy of formation from the pure elements: 0.177 eV/atom
- Energy above the lowest structure with this stoichiometry: 0.327 eV/f.u.
- Calculated volume: 14.7 A^3/atom
- SG: P4/mmm

abc: 3.8398 3.8398 3.9985
angles: 90.00 90.00 90.00
Last column: nearest neighbours and their distance in Å.
Fractional positions:
1 Li 0.0000 0.0000 0.0000  4 Ta 2.72, 8 Tc 2.77
2 Ta 0.5000 0.5000 0.0000  4 Li 2.72, 8 Tc 2.77
3 Tc 0.0000 0.5000 0.5000  4 Tc 2.72, 4 Li 2.77, 4 Ta 2.77
4 Tc 0.5000 0.0000 0.5000  4 Tc 2.72, 4 Li 2.77, 4 Ta 2.77


(9)
This record from Alexandria describes LiTa2Tc after structural relaxation. The functional is GGA-PBE.

Computed properties:
- Energy of formation from the pure elements: 0.256 eV/atom
- Calculated volume: 16.4 A^3/atom
- SG: Pmm2

abc: 2.6505 4.4780 5.5318
angles: 90.00 90.00 90.00
Last column: nearest neighbours and their distance in Å.
Fractional positions:
1 Li 0.0000 0.0000 0.0000  2 Li 2.65, 6 Ta 2.70-2.91, 4 Tc 2.96
2 Ta 0.0000 0.0000 0.5124  2 Ta 2.65, 2 Li 2.70-2.83, 4 Tc 2.90
3 Ta 0.5000 0.5000 0.2349  2 Ta 2.65, 2 Tc 2.72-2.82, 4 Li 2.91
4 Tc 0.5000 0.5000 0.7439  2 Tc 2.65, 6 Ta 2.72-2.90, 4 Li 2.96


(10)
This record from Alexandria describes LiY2TaTc after structural relaxation. The functional is GGA-PBE.

Computed properties:
- Energy of formation from the pure elements: 1.208 eV/atom
- Calculated volume: 21.3 A^3/atom
- SG: P4/mmm

abc: 4.8293 4.8293 4.5566
angles: 90.00 90.00 90.00
Last column: nearest neighbours and their distance in Å.
Fractional positions:
1 Li 0.0000 0.0000 0.0000  2 Ta 2.28, 4 Y 2.41
2 Y 0.0000 0.5000 0.0000  2 Li 2.41
3 Y 0.5000 0.0000 0.0000  2 Li 2.41
4 Ta 0.0000 0.0000 0.5000  2 Li 2.28
5 Tc 0.5000 0.5000 0.5000  8 Y 3.32, 4 Ta 3.41


(11)
This record from Alexandria describes Li2TaTe4 after structural relaxation. The functional is GGA-PBE.

Computed properties:
- Energy above the lowest structure with this stoichiometry: 0.000 eV/f.u.
- Calculated volume: 25.8 A^3/atom
- Formation energy (no corrections): -479 meV per atom
- SG: C2/m

abc: 7.4049 7.4049 7.2056
angles: 114.34 114.34 30.42
Last column: nearest neighbours and their distance in Å.
Fractional positions:
1 Li 0.2321 0.2321 0.1932  6 Te 2.87-2.99
2 Li 0.7679 0.7679 0.8068  6 Te 2.87-2.99
3 Ta 0.5000 0.5000 0.5000  6 Te 2.77-2.80
4 Te 0.1378 0.1378 0.4863  2 Ta 2.80, 3 Li 2.95-2.98
5 Te 0.4083 0.4083 0.0743  1 Ta 2.77, 3 Li 2.87-2.99
6 Te 0.5917 0.5917 0.9257  1 Ta 2.77, 3 Li 2.87-2.99
7 Te 0.8622 0.8622 0.5137  2 Ta 2.80, 3 Li 2.95-2.98


(12)
This record from Alexandria describes LiTaTe after structural relaxation. The functional is GGA-PBE.

Computed properties:
- Energy above the lowest structure with this stoichiometry: 0.000 eV/f.u.
- Calculated volume: 18.1 A^3/atom
- Formation energy (no corrections): 63 meV per atom
- SG: I4mm

abc: 5.1843 5.1843 5.1843
angles: 141.15 141.15 56.11
Last column: nearest neighbours and their distance in Å.
Fractional positions:
1 Li 0.0000 0.0000 0.0000  5 Te 2.83-3.14, 5 Ta 2.91-2.98
2 Ta 0.3262 0.3262 0.0000  5 Te 2.89-3.02, 5 Li 2.91-2.98
3 Te 0.6565 0.6565 0.0000  5 Li 2.83-3.14, 5 Ta 2.89-3.02


(13)
This record from Alexandria describes LiTaTe after structural relaxation. The functional is GGA-PBE.

Computed properties:
- Energy above the lowest structure with this stoichiometry: 1.623 eV/f.u.
- Calculated volume: 22.6 A^3/atom
- Formation energy (no corrections): 604 meV per atom
- SG: F-43m

abc: 4.5748 4.5748 4.5748
angles: 60.00 60.00 60.00
Last column: nearest neighbours and their distance in Å.
Fractional positions:
1 Li 0.0000 0.0000 0.0000  4 Ta 2.80
2 Ta 0.2500 0.2500 0.2500  4 Li 2.80, 4 Te 2.80
3 Te 0.5000 0.5000 0.5000  4 Ta 2.80


(14)
This record from Alexandria describes LiTa4Te after structural relaxation. The functional is GGA-PBE.

Computed properties:
- Calculated volume: 20.4 A^3/atom
- Formation energy (no corrections): 612 meV per atom
- SG: F-43m

abc: 5.5743 5.5743 5.5743
angles: 60.00 60.00 60.00
Last column: nearest neighbours and their distance in Å.
Fractional positions:
1 Li 0.0000 0.0000 0.0000  12 Ta 3.26, 4 Te 3.41
2 Ta 0.1162 0.6279 0.6279  6 Ta 2.72-2.85
3 Ta 0.6279 0.1162 0.6279  6 Ta 2.72-2.85
4 Ta 0.6279 0.6279 0.1162  6 Ta 2.72-2.85
5 Ta 0.6279 0.6279 0.6279  6 Ta 2.72-2.85
6 Te 0.2500 0.2500 0.2500  12 Ta 3.28, 4 Li 3.41


(15)
This record from Alexandria describes LiTaTe4 after structural relaxation. The functional is GGA-PBE.

Computed properties:
- Energy above the lowest structure with this stoichiometry: 0.000 eV/f.u.
- Calculated volume: 28.7 A^3/atom
- Formation energy (no corrections): -322 meV per atom
- SG: P-1

abc: 6.3537 7.0932 8.9304
angles: 112.06 109.32 93.47
Last column: nearest neighbours and their distance in Å.
Fractional positions:
1 Li 0.0382 0.2879 0.0754  6 Te 2.92-3.01
2 Li 0.9618 0.7121 0.9246  6 Te 2.92-3.01
3 Ta 0.2990 0.0488 0.5975  6 Te 2.74-2.91
4 Ta 0.7010 0.9512 0.4025  6 Te 2.74-2.91
5 Te 0.0267 0.1870 0.3684  2 Ta 2.74-2.75, 1 Li 2.98
6 Te 0.2707 0.4077 0.8819  1 Te 2.84, 1 Ta 2.91, 2 Li 2.92-3.01
7 Te 0.3422 0.6809 0.3688  2 Ta 2.74-2.75, 1 Li 2.98
8 Te 0.3887 0.0258 0.1182  1 Te 2.84, 1 Ta 2.91, 2 Li 2.93-3.01
9 Te 0.6113 0.9742 0.8818  1 Te 2.84, 1 Ta 2.91, 2 Li 2.93-3.01
10 Te 0.6578 0.3191 0.6312  2 Ta 2.74-2.75, 1 Li 2.98
11 Te 0.7293 0.5923 0.1181  1 Te 2.84, 1 Ta 2.91, 2 Li 2.92-3.01
12 Te 0.9733 0.8130 0.6316  2 Ta 2.74-2.75, 1 Li 2.98


(16)
This record from Alexandria describes LiTaTe4 after structural relaxation. The functional is GGA-PBE.

Computed properties:
- Energy above the lowest structure with this stoichiometry: 7.330 eV/f.u.
- Calculated volume: 29.2 A^3/atom
- Formation energy (no corrections): 900 meV per atom
- SG: F-43m

abc: 6.2805 6.2805 6.2805
angles: 60.00 60.00 60.00
Last column: nearest neighbours and their distance in Å.
Fractional positions:
1 Li 0.0000 0.0000 0.0000  12 Te 3.68, 4 Ta 3.85
2 Ta 0.7500 0.7500 0.7500  12 Te 3.68, 4 Li 3.85
3 Te 0.3756 0.3756 0.3756  6 Te 3.13-3.16
4 Te 0.3756 0.3756 0.8732  6 Te 3.13-3.16
5 Te 0.3756 0.8732 0.3756  6 Te 3.13-3.16
6 Te 0.8732 0.3756 0.3756  6 Te 3.13-3.16


(17)
This record from Alexandria describes LiTaTe after structural relaxation. The functional is GGA-PBE.

Computed properties:
- Energy above the lowest structure with this stoichiometry: 0.337 eV/f.u.
- Calculated volume: 22.4 A^3/atom
- Formation energy (no corrections): 176 meV per atom
- SG: P3m1

abc: 3.3624 3.3624 6.8526
angles: 90.00 90.00 120.00
Last column: nearest neighbours and their distance in Å.
Fractional positions:
1 Li 0.0000 0.0000 0.0000  3 Ta 3.09, 3 Te 3.17, 6 Li 3.36
2 Ta 0.3333 0.6667 0.3516  3 Te 2.75
3 Te 0.6667 0.3333 0.6351  3 Ta 2.75


(18)
This record from Alexandria describes LiTa3Te after structural relaxation. The functional is GGA-PBE.

Computed properties:
- Energy above the lowest structure with this stoichiometry: 0.000 eV/f.u.
- Calculated volume: 18.3 A^3/atom
- Formation energy (no corrections): 1129 meV per atom
- SG: Pm-3m

abc: 4.5049 4.5049 4.5049
angles: 90.00 90.00 90.00
Last column: nearest neighbours and their distance in Å.
Fractional positions:
1 Li 0.0000 0.0000 0.0000  6 Ta 2.25
2 Ta 0.0000 0.0000 0.5000  2 Li 2.25
3 Ta 0.0000 0.5000 0.0000  2 Li 2.25
4 Ta 0.5000 0.0000 0.0000  2 Li 2.25
5 Te 0.5000 0.5000 0.5000  12 Ta 3.19


(19)
This record from Alexandria describes LiTaTe3 after structural relaxation. The functional is GGA-PBE.

Computed properties:
- Energy above the lowest structure with this stoichiometry: 0.000 eV/f.u.
- Calculated volume: 30.7 A^3/atom
- Formation energy (no corrections): -358 meV per atom
- SG: P2_1/c

abc: 10.0553 6.7456 10.2353
angles: 90.00 117.69 90.00
Last column: nearest neighbours and their distance in Å.
Fractional positions:
1 Li 0.0799 0.2092 0.4052  4 Te 2.84-2.91
2 Li 0.0799 0.2908 0.9052  4 Te 2.84-2.91
3 Li 0.9201 0.7092 0.0948  4 Te 2.84-2.91
4 Li 0.9201 0.7908 0.5948  4 Te 2.84-2.91
5 Ta 0.4103 0.2388 0.4024  6 Te 2.69-2.98
6 Ta 0.4103 0.2612 0.9024  6 Te 2.69-2.98
7 Ta 0.5897 0.7388 0.0976  6 Te 2.69-2.98
8 Ta 0.5897 0.7612 0.5976  6 Te 2.69-2.98
9 Te 0.1503 0.0980 0.6975  1 Ta 2.71, 3 Li 2.84-2.91
10 Te 0.1503 0.4020 0.1975  1 Ta 2.71, 3 Li 2.84-2.91
11 Te 0.2912 0.6008 0.9382  2 Ta 2.69-2.83, 1 Li 2.89
12 Te 0.2912 0.8992 0.4382  2 Ta 2.69-2.83, 1 Li 2.89
13 Te 0.4280 0.0730 0.1416  3 Ta 2.69-2.98
14 Te 0.4280 0.4270 0.6416  3 Ta 2.69-2.98
15 Te 0.5720 0.5730 0.3584  3 Ta 2.69-2.98
16 Te 0.5720 0.9270 0.8584  3 Ta 2.69-2.98
17 Te 0.7088 0.1008 0.5618  2 Ta 2.69-2.83, 1 Li 2.89
18 Te 0.7088 0.3992 0.0618  2 Ta 2.69-2.83, 1 Li 2.89
19 Te 0.8497 0.5980 0.8025  1 Ta 2.71, 3 Li 2.84-2.91
20 Te 0.8497 0.9020 0.3025  1 Ta 2.71, 3 Li 2.84-2.91


(20)
This record from Alexandria describes LiTaTe3 after structural relaxation. The functional is GGA-PBE.

Computed properties:
- Energy above the lowest structure with this stoichiometry: 5.922 eV/f.u.
- Calculated volume: 23.9 A^3/atom
- Formation energy (no corrections): 826 meV per atom
- SG: Pm-3m

abc: 4.9244 4.9244 4.9244
angles: 90.00 90.00 90.00
Last column: nearest neighbours and their distance in Å.
Fractional positions:
1 Li 0.0000 0.0000 0.0000  6 Te 2.46
2 Ta 0.5000 0.5000 0.5000  12 Te 3.48
3 Te 0.0000 0.0000 0.5000  2 Li 2.46
4 Te 0.0000 0.5000 0.0000  2 Li 2.46
5 Te 0.5000 0.0000 0.0000  2 Li 2.46